[1]
Tb2Pr4Dy2Y | PBE | optimized geometry

```
data_Tb2Pr4Dy2Y
_chemical_formula_sum 'Tb2 Pr4 Dy2 Y1'
_cell_length_a 5.132
_cell_length_b 8.126
_cell_length_c 8.103
_cell_angle_alpha 107.54
_cell_angle_beta 90.00
_cell_angle_gamma 108.41
_symmetry_space_group_name_H-M 'P 1'
_symmetry_Int_Tables_number 1
loop_
_symmetry_equiv_pos_as_xyz
'x,y,z'
loop_
_atom_site_label
_atom_site_type_symbol
_atom_site_fract_x
_atom_site_fract_y
_atom_site_fract_z
Y1 Y 0.000 0.000 0.000
Pr1 Pr 0.446 0.892 0.668
Dy1 Dy 0.668 0.335 0.999
Pr2 Pr 0.223 0.446 0.331
Pr3 Pr 0.777 0.554 0.669
Pr4 Pr 0.554 0.108 0.332
Tb1 Tb 0.888 0.777 0.330
Dy2 Dy 0.332 0.665 0.001
Tb2 Tb 0.112 0.223 0.670
```

energy relative to the elements: 0.02 eV per atom
space-group type: C2/m, No. 12
total energy: -4.874 eV/atom
crystal system: monoclinic


[2]
TbNd2PaSb5 | PBE | optimized geometry

```
data_TbNd2PaSb5
_chemical_formula_sum 'Tb1 Nd2 Pa1 Sb5'
_cell_length_a 5.480
_cell_length_b 5.480
_cell_length_c 11.657
_cell_angle_alpha 90.00
_cell_angle_beta 90.00
_cell_angle_gamma 90.00
_symmetry_space_group_name_H-M 'P 1'
_symmetry_Int_Tables_number 1
loop_
_symmetry_equiv_pos_as_xyz
'x,y,z'
loop_
_atom_site_label
_atom_site_type_symbol
_atom_site_fract_x
_atom_site_fract_y
_atom_site_fract_z
Nd1 Nd 0.500 0.500 0.276
Pa1 Pa 0.000 0.000 0.500
Sb1 Sb 0.000 0.000 0.753
Sb2 Sb 0.500 0.500 0.000
Tb1 Tb 0.000 0.000 0.000
Sb3 Sb 0.000 0.000 0.247
Sb4 Sb 0.500 0.000 0.500
Sb5 Sb 0.000 0.500 0.500
Nd2 Nd 0.500 0.500 0.724
```

uncorrected formation energy: -0.204 eV/atom
space-group type: P4/mmm, No. 123
total energy: -5.124 eV/atom
crystal system: tetragonal


[3]
Li7MgCu2 | PBE | optimized geometry

```
data_Li7MgCu2
_chemical_formula_sum 'Li7 Mg1 Cu2'
_cell_length_a 4.734
_cell_length_b 7.079
_cell_length_c 7.079
_cell_angle_alpha 116.34
_cell_angle_beta 90.00
_cell_angle_gamma 90.00
_symmetry_space_group_name_H-M 'P 1'
_symmetry_Int_Tables_number 1
loop_
_symmetry_equiv_pos_as_xyz
'x,y,z'
loop_
_atom_site_label
_atom_site_type_symbol
_atom_site_fract_x
_atom_site_fract_y
_atom_site_fract_z
Mg1 Mg 0.000 0.000 0.000
Li1 Li 0.500 0.313 0.067
Cu1 Cu 0.500 0.709 0.291
Li2 Li 0.500 0.687 0.933
Li3 Li 0.000 0.665 0.335
Li4 Li 0.500 0.933 0.687
Li5 Li 0.000 0.335 0.665
Li6 Li 0.500 0.067 0.313
Cu2 Cu 0.500 0.291 0.709
Li7 Li 0.500 0.500 0.500
```

relative energy among the computed polymorphs: 0.130 eV/atom
energy relative to the elements: 0.20 eV per atom
space-group type: Cmmm, No. 65
total energy: -2.121 eV/atom
crystal system: orthorhombic


[4]
HoHf4Zn5 | PBE | optimized geometry

```
data_HoHf4Zn5
_chemical_formula_sum 'Ho1 Hf4 Zn5'
_cell_length_a 3.350
_cell_length_b 3.350
_cell_length_c 16.740
_cell_angle_alpha 90.00
_cell_angle_beta 90.00
_cell_angle_gamma 90.00
_symmetry_space_group_name_H-M 'P 1'
_symmetry_Int_Tables_number 1
loop_
_symmetry_equiv_pos_as_xyz
'x,y,z'
loop_
_atom_site_label
_atom_site_type_symbol
_atom_site_fract_x
_atom_site_fract_y
_atom_site_fract_z
Zn1 Zn 0.500 0.500 0.694
Zn2 Zn 0.500 0.500 0.500
Zn3 Zn 0.500 0.500 0.306
Hf1 Hf 0.000 0.000 0.208
Hf2 Hf 0.000 0.000 0.403
Hf3 Hf 0.000 0.000 0.792
Zn4 Zn 0.500 0.500 0.885
Hf4 Hf 0.000 0.000 0.597
Ho1 Ho 0.000 0.000 0.000
Zn5 Zn 0.500 0.500 0.115
```

energy relative to the elements: -0.21 eV per atom
space-group type: P4/mmm, No. 123
total energy: -5.287 eV/atom
crystal system: tetragonal


[5]
NaLiTe2N | PBE | optimized geometry

```
data_NaLiTe2N
_chemical_formula_sum 'Na1 Li1 Te2 N1'
_cell_length_a 5.565
_cell_length_b 5.565
_cell_length_c 3.492
_cell_angle_alpha 90.00
_cell_angle_beta 90.00
_cell_angle_gamma 90.00
_symmetry_space_group_name_H-M 'P 1'
_symmetry_Int_Tables_number 1
loop_
_symmetry_equiv_pos_as_xyz
'x,y,z'
loop_
_atom_site_label
_atom_site_type_symbol
_atom_site_fract_x
_atom_site_fract_y
_atom_site_fract_z
Te1 Te 0.000 0.500 0.000
N1 N 0.000 0.000 0.500
Te2 Te 0.500 0.000 0.000
Na1 Na 0.500 0.500 0.500
Li1 Li 0.000 0.000 0.000
```

uncorrected formation energy: 0.475 eV/atom
relative energy among the computed polymorphs: 0.000 eV/atom
space-group type: P4/mmm, No. 123
total energy: -3.093 eV/atom
crystal system: tetragonal


[6]
ErTm2Ga | PBE | optimized geometry

```
data_ErTm2Ga
_chemical_formula_sum 'Er1 Tm2 Ga1'
_cell_length_a 3.551
_cell_length_b 3.551
_cell_length_c 10.263
_cell_angle_alpha 80.04
_cell_angle_beta 80.04
_cell_angle_gamma 60.00
_symmetry_space_group_name_H-M 'P 1'
_symmetry_Int_Tables_number 1
loop_
_symmetry_equiv_pos_as_xyz
'x,y,z'
loop_
_atom_site_label
_atom_site_type_symbol
_atom_site_fract_x
_atom_site_fract_y
_atom_site_fract_z
Tm1 Tm 0.262 0.262 0.215
Ga1 Ga 0.666 0.666 0.001
Er1 Er 0.500 0.500 0.499
Tm2 Tm 0.072 0.072 0.785
```

relative energy among the computed polymorphs: 0.084 eV/atom
energy relative to the elements: -0.20 eV per atom
space-group type: R3m, No. 160
total energy: -4.335 eV/atom
crystal system: trigonal


[7]
Pr2YThAs4 | PBE | optimized geometry

```
data_Pr2YThAs4
_chemical_formula_sum 'Pr2 Y1 Th1 As4'
_cell_length_a 4.255
_cell_length_b 7.342
_cell_length_c 7.375
_cell_angle_alpha 109.43
_cell_angle_beta 90.00
_cell_angle_gamma 90.00
_symmetry_space_group_name_H-M 'P 1'
_symmetry_Int_Tables_number 1
loop_
_symmetry_equiv_pos_as_xyz
'x,y,z'
loop_
_atom_site_label
_atom_site_type_symbol
_atom_site_fract_x
_atom_site_fract_y
_atom_site_fract_z
Y1 Y 0.000 0.000 0.000
Pr1 Pr 0.500 0.000 0.500
As1 As 0.000 0.750 0.243
Pr2 Pr 0.000 0.500 0.500
Th1 Th 0.500 0.500 0.000
As2 As 0.500 0.755 0.760
As3 As 0.500 0.245 0.240
As4 As 0.000 0.250 0.757
```

energy relative to the elements: -1.51 eV per atom
space-group type: P2/m, No. 10
total energy: -6.765 eV/atom
crystal system: monoclinic


[8]
MnCr | PBE | optimized geometry

```
data_MnCr
_chemical_formula_sum 'Mn2 Cr2'
_cell_length_a 2.534
_cell_length_b 2.534
_cell_length_c 8.045
_cell_angle_alpha 90.00
_cell_angle_beta 90.00
_cell_angle_gamma 120.00
_symmetry_space_group_name_H-M 'P 1'
_symmetry_Int_Tables_number 1
loop_
_symmetry_equiv_pos_as_xyz
'x,y,z'
loop_
_atom_site_label
_atom_site_type_symbol
_atom_site_fract_x
_atom_site_fract_y
_atom_site_fract_z
Mn1 Mn 0.667 0.333 0.750
Mn2 Mn 0.333 0.667 0.250
Cr1 Cr 0.000 0.000 0.000
Cr2 Cr 0.000 0.000 0.500
```

energy relative to the elements: 0.24 eV per atom
space-group type: P6_3/mmc, No. 194
total energy: -9.155 eV/atom
crystal system: hexagonal


Please write out number 1 again, unchanged.
Tb2Pr4Dy2Y | PBE | optimized geometry

```
data_Tb2Pr4Dy2Y
_chemical_formula_sum 'Tb2 Pr4 Dy2 Y1'
_cell_length_a 5.132
_cell_length_b 8.126
_cell_length_c 8.103
_cell_angle_alpha 107.54
_cell_angle_beta 90.00
_cell_angle_gamma 108.41
_symmetry_space_group_name_H-M 'P 1'
_symmetry_Int_Tables_number 1
loop_
_symmetry_equiv_pos_as_xyz
'x,y,z'
loop_
_atom_site_label
_atom_site_type_symbol
_atom_site_fract_x
_atom_site_fract_y
_atom_site_fract_z
Y1 Y 0.000 0.000 0.000
Pr1 Pr 0.446 0.892 0.668
Dy1 Dy 0.668 0.335 0.999
Pr2 Pr 0.223 0.446 0.331
Pr3 Pr 0.777 0.554 0.669
Pr4 Pr 0.554 0.108 0.332
Tb1 Tb 0.888 0.777 0.330
Dy2 Dy 0.332 0.665 0.001
Tb2 Tb 0.112 0.223 0.670
```

energy relative to the elements: 0.02 eV per atom
space-group type: C2/m, No. 12
total energy: -4.874 eV/atom
crystal system: monoclinic